DFT (PBE-GGA) results for PrBiPb after structural relaxation.

Geometry as POSCAR:
```
PrBiPb
1.0
4.652 0.000 0.000
0.000 4.639 0.000
0.000 -2.319 8.687
Pb Pr Bi
2 2 2
direct
0.250 0.750 0.500 Pb
0.750 0.250 0.500 Pb
0.250 0.097 0.194 Pr
0.750 0.903 0.806 Pr
0.250 0.427 0.854 Bi
0.750 0.573 0.146 Bi
```

Properties
Energy of formation from the pure elements (eV per atom): -0.565
Total magnetic moment (μB/f.u.): 0.00
Total energy (eV per atom): -4.688
Crystal system: orthorhombic
Space group: Cmcm

---

DFT (PBE-GGA) results for PrBi3Pb3 after structural relaxation.

Geometry as POSCAR:
```
PrBi3Pb3
1.0
7.008 0.216 -0.002
0.232 7.008 -0.002
0.002 0.002 9.714
Bi Pb Pr
6 6 2
direct
0.000 0.000 0.256 Bi
0.000 0.500 0.249 Bi
0.500 0.000 0.249 Bi
0.500 0.000 0.751 Bi
0.000 0.000 0.744 Bi
0.000 0.500 0.751 Bi
0.744 0.744 0.500 Pb
0.728 0.272 0.000 Pb
0.740 0.260 0.500 Pb
0.272 0.728 0.000 Pb
0.260 0.740 0.500 Pb
0.256 0.256 0.500 Pb
0.232 0.232 0.000 Pr
0.768 0.768 0.000 Pr
```

Properties
Energy of formation from the pure elements (eV per atom): -0.173
Total magnetic moment (μB/f.u.): 0.00
Total energy (eV per atom): -4.109
Crystal system: orthorhombic
Space group: Cmmm

---

DFT (PBE-GGA) results for Pr2BiPb after structural relaxation.

Geometry as POSCAR:
```
Pr2BiPb
1.0
-1.247 -3.061 -3.180
4.240 -2.832 1.063
-2.673 -2.651 3.599
Pr Bi Pb
2 1 1
direct
0.000 0.000 0.500 Pr
0.000 0.500 0.000 Pr
0.500 0.500 0.500 Bi
0.500 0.000 0.000 Pb
```

Properties
Energy of formation from the pure elements (eV per atom): -0.603
Total magnetic moment (μB/f.u.): 0.00
Total energy (eV per atom): -4.890
Crystal system: tetragonal
Space group: P4/mmm

---

DFT (PBE-GGA) results for Pr6BiSb3Pb2 after structural relaxation.

Geometry as POSCAR:
```
Pr6BiSb3Pb2
1.0
-3.672 -2.600 0.296
1.060 -2.512 -8.922
7.087 -5.530 5.016
Sb Pb Pr Bi
3 2 6 1
direct
0.166 0.835 0.332 Sb
0.500 0.500 0.000 Sb
0.834 0.165 0.668 Sb
0.168 0.336 0.336 Pb
0.832 0.664 0.664 Pb
0.336 0.409 0.672 Pr
0.332 0.921 0.664 Pr
0.668 0.079 0.336 Pr
0.664 0.591 0.328 Pr
0.999 0.253 0.998 Pr
0.001 0.747 0.002 Pr
0.500 0.000 0.000 Bi
```

Properties
Total magnetic moment (μB/f.u.): 0.00
Total energy (eV per atom): -5.257
Crystal system: monoclinic
Space group: C2/m
E_form (uncorrected) (eV/atom): -0.896